No. 1
Here is a relaxed structure of ZrTeCl2 from the Alexandria database. Energies are from PBE-GGA.

Cell lengths 5.0122, 5.0122, 3.5220 Å; angles 90.00, 90.00, 90.00 degrees
Closest atoms and distances in Å follow each position.
Atoms (fractional coordinates):
Zr1 0.0000 0.0000 0.0000  8 Cl 3.06
Te1 0.5000 0.5000 0.0000  8 Cl 3.06
Cl1 0.0000 0.5000 0.5000  4 Zr 3.06, 4 Te 3.06
Cl2 0.5000 0.0000 0.5000  4 Zr 3.06, 4 Te 3.06

## Properties
The space-group type is P4/mmm, No. 123. As for the energy above the most stable polymorph in this dataset: 1259 meV per atom. As for the energy relative to the elements, uncorrected: -0.09 eV per atom.



No. 2
Here is a relaxed structure of TlAuSe2 from the Alexandria database. Energies are from PBE-GGA.

Cell lengths 7.9355, 7.9455, 2.9719 Å; angles 90.00, 90.00, 90.00 degrees
Closest atoms and distances in Å follow each position.
Atoms (fractional coordinates):
Tl1 0.0000 0.0000 0.0000  2 Tl 2.97, 8 Se 3.18
Tl2 0.5000 0.5000 0.0000  2 Tl 2.97, 8 Se 3.18
Au1 0.0000 0.5000 0.0000  2 Au 2.97, 8 Se 3.18
Au2 0.5000 0.0000 0.0000  2 Au 2.97, 8 Se 3.18
Se1 0.2500 0.2500 0.5000  2 Se 2.97, 4 Tl 3.18, 4 Au 3.18
Se2 0.2500 0.7500 0.5000  2 Se 2.97, 4 Tl 3.18, 4 Au 3.18
Se3 0.7500 0.2500 0.5000  2 Se 2.97, 4 Tl 3.18, 4 Au 3.18
Se4 0.7500 0.7500 0.5000  2 Se 2.97, 4 Tl 3.18, 4 Au 3.18

## Properties
The space-group type is Cmmm, No. 65. As for the energy relative to the elements, uncorrected: 0.24 eV per atom.



No. 3
Here is a relaxed structure of UTiIr2 from the Alexandria database. Energies are from PBE-GGA.

Cell lengths 4.1912, 4.1912, 3.9194 Å; angles 90.00, 90.00, 90.00 degrees
Closest atoms and distances in Å follow each position.
Atoms (fractional coordinates):
U1 0.0000 0.0000 0.0000  8 Ir 2.87, 4 Ti 2.96
Ti1 0.5000 0.5000 0.0000  8 Ir 2.87, 4 U 2.96
Ir1 0.0000 0.5000 0.5000  4 U 2.87, 4 Ti 2.87, 4 Ir 2.96
Ir2 0.5000 0.0000 0.5000  4 U 2.87, 4 Ti 2.87, 4 Ir 2.96

## Properties
The space-group type is P4/mmm, No. 123. Its formation energy is -54 kJ per mole of atoms. As for the energy above the most stable polymorph in this dataset: 88 meV per atom.



| no. | D(E_F) (states/eV per atom) | total energy (eV/atom) |
| --- | --- | --- |
| 1 | 0.61 | -3.933 |
| 2 | 1.18 | -2.909 |
| 3 | 1.31 | -9.785 |